Version one
# PBE Pa2AlSn, relaxed
data_Pa2AlSn
_chemical_formula_sum 'Pa2 Al1 Sn1'
_cell_length_a 4.472
_cell_length_b 4.472
_cell_length_c 4.655
_cell_angle_alpha 90.00
_cell_angle_beta 90.00
_cell_angle_gamma 90.00
_symmetry_space_group_name_H-M 'P 4/m m m'
_symmetry_Int_Tables_number 123
_symmetry_space_group_name_Hall '-P 4 2'
loop_
_atom_site_label
_atom_site_type_symbol
_atom_site_fract_x
_atom_site_fract_y
_atom_site_fract_z
Pa1 Pa 0.000 0.500 0.000
Al1 Al 0.000 0.000 0.500
Sn1 Sn 0.500 0.500 0.500
# Crystal system = tetragonal
# N(E_F) = 7.1 states/eV per cell
# Magnetization = 0.64 μB/cell


Version two
# PBE Pa2AlSn, relaxed
data_Pa2AlSn
_chemical_formula_sum 'Pa2 Al1 Sn1'
_cell_length_a 3.232
_cell_length_b 3.232
_cell_length_c 9.021
_cell_angle_alpha 90.00
_cell_angle_beta 90.00
_cell_angle_gamma 90.00
_symmetry_space_group_name_H-M 'P 4/m m m'
_symmetry_Int_Tables_number 123
_symmetry_space_group_name_Hall '-P 4 2'
loop_
_atom_site_label
_atom_site_type_symbol
_atom_site_fract_x
_atom_site_fract_y
_atom_site_fract_z
Pa1 Pa 0.000 0.000 0.235
Al1 Al 0.500 0.500 0.000
Sn1 Sn 0.500 0.500 0.500
# Crystal system = tetragonal
# N(E_F) = 7.6 states/eV per cell
# Magnetization = 1.36 μB/cell


It turns out version one is the most stable, with the second structure 0.6 kJ/mol of atoms higher.


Version one
# PBE PaTaAl2, relaxed
data_PaTaAl2
_chemical_formula_sum 'Pa1 Ta1 Al2'
_cell_length_a 2.880
_cell_length_b 2.880
_cell_length_c 9.046
_cell_angle_alpha 90.00
_cell_angle_beta 90.00
_cell_angle_gamma 90.00
_symmetry_space_group_name_H-M 'P 4/m m m'
_symmetry_Int_Tables_number 123
_symmetry_space_group_name_Hall '-P 4 2'
loop_
_atom_site_label
_atom_site_type_symbol
_atom_site_fract_x
_atom_site_fract_y
_atom_site_fract_z
Pa1 Pa 0.000 0.000 0.000
Ta1 Ta 0.000 0.000 0.500
Al1 Al 0.500 0.500 0.272
# Crystal system = tetragonal
# N(E_F) = 4.4 states/eV per cell
# Magnetization = 0.00 μB/cell


Version two
# PBE PaTaAl2, relaxed
data_PaTaAl2
_chemical_formula_sum 'Pa3 Ta3 Al6'
_cell_length_a 3.0014
_cell_length_b 3.0014
_cell_length_c 29.8626
_cell_angle_alpha 90.00
_cell_angle_beta 90.00
_cell_angle_gamma 120.00
_symmetry_space_group_name_H-M 'R -3 m'
_symmetry_Int_Tables_number 166
_symmetry_space_group_name_Hall '-R 3 2"'
loop_
_atom_site_label
_atom_site_type_symbol
_atom_site_fract_x
_atom_site_fract_y
_atom_site_fract_z
Pa1 Pa 0.0000 0.0000 0.0000
Ta1 Ta 0.0000 0.0000 0.5000
Al1 Al 0.0000 0.0000 0.2428
# Crystal system = trigonal
# N(E_F) = 8.5 states/eV per cell
# Magnetization = 0.00 μB/cell


It turns out version one is the most stable, with the second structure 9.6 kJ/mol of atoms higher.


Version one
# PBE PaTa2Al, relaxed
data_PaTa2Al
_chemical_formula_sum 'Pa3 Ta6 Al3'
_cell_length_a 2.9690
_cell_length_b 2.9690
_cell_length_c 31.0467
_cell_angle_alpha 90.00
_cell_angle_beta 90.00
_cell_angle_gamma 120.00
_symmetry_space_group_name_H-M 'R -3 m'
_symmetry_Int_Tables_number 166
_symmetry_space_group_name_Hall '-R 3 2"'
loop_
_atom_site_label
_atom_site_type_symbol
_atom_site_fract_x
_atom_site_fract_y
_atom_site_fract_z
Pa1 Pa 0.0000 0.0000 0.0000
Ta1 Ta 0.0000 0.0000 0.0931
Al1 Al 0.0000 0.0000 0.5000
# Crystal system = trigonal
# N(E_F) = 19.1 states/eV per cell
# Magnetization = 0.00 μB/cell


Version two
# PBE PaTa2Al, relaxed
data_PaTa2Al
_chemical_formula_sum 'Pa1 Ta2 Al1'
_cell_length_a 4.561
_cell_length_b 4.561
_cell_length_c 3.718
_cell_angle_alpha 90.00
_cell_angle_beta 90.00
_cell_angle_gamma 90.00
_symmetry_space_group_name_H-M 'P 4/m m m'
_symmetry_Int_Tables_number 123
_symmetry_space_group_name_Hall '-P 4 2'
loop_
_atom_site_label
_atom_site_type_symbol
_atom_site_fract_x
_atom_site_fract_y
_atom_site_fract_z
Pa1 Pa 0.000 0.000 0.000
Ta1 Ta 0.000 0.500 0.500
Al1 Al 0.500 0.500 0.000
# Crystal system = tetragonal
# N(E_F) = 4.3 states/eV per cell
# Magnetization = 0.00 μB/cell


It turns out version two is the most stable, with the second structure 30.7 kJ/mol of atoms higher.


Version one
# PBE TbPaAl2, relaxed
data_TbPaAl2
_chemical_formula_sum 'Tb3 Pa3 Al6'
_cell_length_a 3.2062
_cell_length_b 3.2062
_cell_length_c 31.1289
_cell_angle_alpha 90.00
_cell_angle_beta 90.00
_cell_angle_gamma 120.00
_symmetry_space_group_name_H-M 'R -3 m'
_symmetry_Int_Tables_number 166
_symmetry_space_group_name_Hall '-R 3 2"'
loop_
_atom_site_label
_atom_site_type_symbol
_atom_site_fract_x
_atom_site_fract_y
_atom_site_fract_z
Tb1 Tb 0.0000 0.0000 0.0000
Pa1 Pa 0.0000 0.0000 0.5000
Al1 Al 0.0000 0.0000 0.2496
# Crystal system = trigonal
# N(E_F) = 18.1 states/eV per cell
# Magnetization = 0.00 μB/cell


Version two
# PBE TbPaAl2, relaxed
data_TbPaAl2
_chemical_formula_sum 'Tb4 Pa4 Al8'
_cell_length_a 7.204
_cell_length_b 7.204
_cell_length_c 7.204
_cell_angle_alpha 90.00
_cell_angle_beta 90.00
_cell_angle_gamma 90.00
_symmetry_space_group_name_H-M 'F m -3 m'
_symmetry_Int_Tables_number 225
_symmetry_space_group_name_Hall '-F 4 2 3'
loop_
_atom_site_label
_atom_site_type_symbol
_atom_site_fract_x
_atom_site_fract_y
_atom_site_fract_z
Tb1 Tb 0.000 0.000 0.000
Pa1 Pa 0.000 0.000 0.500
Al1 Al 0.250 0.250 0.250
# Crystal system = cubic
# N(E_F) = 26.1 states/eV per cell
# Magnetization = 2.45 μB/cell


Version three
# PBE TbPaAl2, relaxed
data_TbPaAl2
_chemical_formula_sum 'Tb1 Pa1 Al2'
_cell_length_a 4.648
_cell_length_b 4.648
_cell_length_c 4.251
_cell_angle_alpha 90.00
_cell_angle_beta 90.00
_cell_angle_gamma 90.00
_symmetry_space_group_name_H-M 'P 4/m m m'
_symmetry_Int_Tables_number 123
_symmetry_space_group_name_Hall '-P 4 2'
loop_
_atom_site_label
_atom_site_type_symbol
_atom_site_fract_x
_atom_site_fract_y
_atom_site_fract_z
Tb1 Tb 0.000 0.000 0.000
Pa1 Pa 0.500 0.500 0.000
Al1 Al 0.000 0.500 0.500
# Crystal system = tetragonal
# N(E_F) = 5.2 states/eV per cell
# Magnetization = 0.00 μB/cell


It turns out version three is the most stable, with the second structure 3.2 kJ/mol of atoms higher.


Version one
# PBE Pa2AlTc, relaxed
data_Pa2AlTc
_chemical_formula_sum 'Pa4 Al2 Tc2'
_cell_length_a 8.724
_cell_length_b 3.240
_cell_length_c 6.169
_cell_angle_alpha 90.00
_cell_angle_beta 91.98
_cell_angle_gamma 90.00
_symmetry_space_group_name_H-M 'C 1 2/m 1'
_symmetry_Int_Tables_number 12
_symmetry_space_group_name_Hall '-C 2y'
loop_
_atom_site_label
_atom_site_type_symbol
_atom_site_fract_x
_atom_site_fract_y
_atom_site_fract_z
Pa1 Pa 0.227 0.000 0.264
Al1 Al 0.000 0.500 0.000
Tc1 Tc 0.000 0.500 0.500
# Crystal system = monoclinic
# N(E_F) = 10.4 states/eV per cell
# Magnetization = 0.00 μB/cell


Version two
# PBE Pa2AlTc, relaxed
data_Pa2AlTc
_chemical_formula_sum 'Pa8 Al4 Tc4'
_cell_length_a 6.982
_cell_length_b 6.982
_cell_length_c 6.982
_cell_angle_alpha 90.00
_cell_angle_beta 90.00
_cell_angle_gamma 90.00
_symmetry_space_group_name_H-M 'F m -3 m'
_symmetry_Int_Tables_number 225
_symmetry_space_group_name_Hall '-F 4 2 3'
loop_
_atom_site_label
_atom_site_type_symbol
_atom_site_fract_x
_atom_site_fract_y
_atom_site_fract_z
Pa1 Pa 0.250 0.250 0.250
Al1 Al 0.000 0.000 0.000
Tc1 Tc 0.000 0.000 0.500
# Crystal system = cubic
# N(E_F) = 29.3 states/eV per cell
# Magnetization = 0.00 μB/cell


It turns out version two is the most stable, with the second structure 5.3 kJ/mol of atoms higher.


Version one
# PBE PaAlTc2, relaxed
data_PaAlTc2
_chemical_formula_sum 'Pa3 Al3 Tc6'
_cell_length_a 3.2973
_cell_length_b 3.2973
_cell_length_c 26.1521
_cell_angle_alpha 90.00
_cell_angle_beta 90.00
_cell_angle_gamma 120.00
_symmetry_space_group_name_H-M 'R -3 m'
_symmetry_Int_Tables_number 166
_symmetry_space_group_name_Hall '-R 3 2"'
loop_
_atom_site_label
_atom_site_type_symbol
_atom_site_fract_x
_atom_site_fract_y
_atom_site_fract_z
Pa1 Pa 0.0000 0.0000 0.0000
Al1 Al 0.0000 0.0000 0.5000
Tc1 Tc 0.0000 0.0000 0.4031
# Crystal system = trigonal
# N(E_F) = 13.2 states/eV per cell
# Magnetization = 0.00 μB/cell


Version two
# PBE PaAlTc2, relaxed
data_PaAlTc2
_chemical_formula_sum 'Pa4 Al4 Tc8'
_cell_length_a 6.513
_cell_length_b 6.513
_cell_length_c 6.513
_cell_angle_alpha 90.00
_cell_angle_beta 90.00
_cell_angle_gamma 90.00
_symmetry_space_group_name_H-M 'F m -3 m'
_symmetry_Int_Tables_number 225
_symmetry_space_group_name_Hall '-F 4 2 3'
loop_
_atom_site_label
_atom_site_type_symbol
_atom_site_fract_x
_atom_site_fract_y
_atom_site_fract_z
Pa1 Pa 0.000 0.000 0.000
Al1 Al 0.000 0.000 0.500
Tc1 Tc 0.250 0.250 0.250
# Crystal system = cubic
# N(E_F) = 21.9 states/eV per cell
# Magnetization = 0.00 μB/cell


It turns out version two is the most stable, with the second structure 79.2 kJ/mol of atoms higher.